Tb4NdSc2 PBE-GGA optimized geometry; E_tot = -4.995 eV/atom; ΔE_f = 0.141 eV/atom; spin magnetization = 0.0 μB per cell; symmetry = P2_1/m
1.0
5.458 0.000 -0.285
0.000 6.801 0.000
-2.138 0.000 11.555
Tb Sc Nd
8 4 2
Direct
0.785 0.250 0.569
0.923 0.750 0.845
0.647 0.002 0.293
0.353 0.998 0.707
0.077 0.250 0.155
0.215 0.750 0.431
0.353 0.502 0.707
0.647 0.498 0.293
0.784 0.750 0.570
0.216 0.250 0.430
0.502 0.250 0.007
0.498 0.750 0.993
0.073 0.750 0.142
0.927 0.250 0.858